(1)
# Pm4Dy3Tl5

Pm4Dy3Tl5 after structural relaxation (GGA-PBE, Alexandria).

Unit cell a=6.5533 b=6.5533 c=11.4186 alpha=92.23 beta=92.23 gamma=50.21
Last column: nearest neighbours and their distance in Å.
Sites, in units of the cell vectors:
1 Pm 0.0878 0.0878 0.2545  4 Tl 3.03-3.22
2 Pm 0.1431 0.1431 0.9442  5 Tl 3.34-3.48, 3 Pm 3.48-3.68
3 Pm 0.8569 0.8569 0.0558  5 Tl 3.34-3.48, 3 Pm 3.48-3.68
4 Pm 0.9122 0.9122 0.7455  4 Tl 3.03-3.22
5 Dy 0.2263 0.2263 0.6300  3 Tl 3.01-3.33
6 Dy 0.5000 0.5000 0.5000  2 Tl 2.78
7 Dy 0.7737 0.7737 0.3700  3 Tl 3.01-3.33
8 Tl 0.0000 0.0000 0.5000  4 Dy 2.78-3.01, 2 Pm 3.03
9 Tl 0.3562 0.3562 0.2387  1 Tl 3.11, 3 Pm 3.20-3.48, 3 Dy 3.33-3.37
10 Tl 0.4167 0.4167 0.8880  2 Tl 3.11-3.16, 5 Pm 3.22-3.47
11 Tl 0.5833 0.5833 0.1120  2 Tl 3.11-3.16, 5 Pm 3.22-3.47
12 Tl 0.6438 0.6438 0.7613  1 Tl 3.11, 3 Pm 3.20-3.48, 3 Dy 3.33-3.37

Results
DFT total energy ... -3.841 eV/atom
Symmetry ... C2/m
Energy relative to the elements ... -0.121 eV/atom
M_tot ... 0.00 μB per formula unit
Density ... 9.217 g/cm³

(2)
# Pm4Dy5Tl2

Pm4Dy5Tl2 after structural relaxation (GGA-PBE, Alexandria).

Unit cell a=16.2171 b=16.2171 c=16.2171 alpha=18.63 beta=18.63 gamma=18.63
Last column: nearest neighbours and their distance in Å.
Sites, in units of the cell vectors:
1 Pm 0.0735 0.0735 0.0735  3 Tl 3.36, 3 Pm 3.47, 5 Dy 3.51-3.63
2 Pm 0.2244 0.2244 0.2244  3 Pm 3.47, 5 Dy 3.57-3.69
3 Pm 0.7756 0.7756 0.7756  3 Pm 3.47, 5 Dy 3.57-3.69
4 Pm 0.9265 0.9265 0.9265  3 Tl 3.36, 3 Pm 3.47, 5 Dy 3.51-3.63
5 Dy 0.0000 0.0000 0.0000  6 Dy 3.39, 2 Pm 3.51, 6 Tl 3.66
6 Dy 0.1485 0.1485 0.1485  3 Dy 3.49, 5 Pm 3.57-3.63
7 Dy 0.3015 0.3015 0.3015  3 Tl 3.08, 3 Dy 3.39
8 Dy 0.6985 0.6985 0.6985  3 Tl 3.08, 3 Dy 3.39
9 Dy 0.8515 0.8515 0.8515  3 Dy 3.49, 5 Pm 3.57-3.63
10 Tl 0.3764 0.3764 0.3764  3 Dy 3.08, 3 Pm 3.36
11 Tl 0.6236 0.6236 0.6236  3 Dy 3.08, 3 Pm 3.36

Results
DFT total energy ... -4.015 eV/atom
Symmetry ... R-3m
Energy relative to the elements ... 0.235 eV/atom
M_tot ... 0.00 μB per formula unit
Density ... 7.864 g/cm³

(3)
# Pm2DyTl2

Pm2DyTl2 after structural relaxation (GGA-PBE, Alexandria).

Unit cell a=8.6244 b=8.6244 c=6.5701 alpha=90.00 beta=90.00 gamma=142.09
Last column: nearest neighbours and their distance in Å.
Sites, in units of the cell vectors:
1 Pm 0.0319 0.9681 0.5000  3 Tl 3.10-3.34, 2 Pm 3.45
2 Pm 0.1979 0.8021 0.9612  4 Tl 3.10-3.40
3 Pm 0.8021 0.1979 0.4612  4 Tl 3.10-3.40
4 Pm 0.9681 0.0319 0.0000  3 Tl 3.10-3.34, 2 Pm 3.45
5 Dy 0.4033 0.5967 0.7088  4 Tl 3.15-3.44
6 Dy 0.5967 0.4033 0.2088  4 Tl 3.15-3.44
7 Tl 0.2206 0.7794 0.4474  5 Pm 3.10-3.40, 1 Tl 3.33, 1 Dy 3.44
8 Tl 0.4039 0.5961 0.2256  3 Dy 3.15-3.40, 1 Tl 3.33, 2 Pm 3.34
9 Tl 0.5961 0.4039 0.7256  3 Dy 3.15-3.40, 1 Tl 3.33, 2 Pm 3.34
10 Tl 0.7794 0.2206 0.9474  5 Pm 3.10-3.40, 1 Tl 3.33, 1 Dy 3.44

Results
DFT total energy ... -4.020 eV/atom
Symmetry ... Cmc2_1
Energy relative to the elements ... -0.253 eV/atom
M_tot ... 0.00 μB per formula unit
Density ... 9.527 g/cm³

(4)
# Pm6Dy2Tl

Pm6Dy2Tl after structural relaxation (GGA-PBE, Alexandria).

Unit cell a=10.1886 b=10.1886 c=3.5155 alpha=99.83 beta=99.83 gamma=58.20
Last column: nearest neighbours and their distance in Å.
Sites, in units of the cell vectors:
1 Pm 0.1502 0.5165 0.3342  1 Tl 3.43, 3 Dy 3.47-3.60, 7 Pm 3.52-3.66
2 Pm 0.2001 0.7999 0.0000  2 Tl 3.45, 2 Dy 3.49, 6 Pm 3.52-3.59
3 Pm 0.4835 0.8498 0.6658  1 Tl 3.43, 3 Dy 3.47-3.60, 7 Pm 3.52-3.66
4 Pm 0.5165 0.1502 0.3342  1 Tl 3.43, 3 Dy 3.47-3.60, 7 Pm 3.52-3.66
5 Pm 0.7999 0.2001 0.0000  2 Tl 3.45, 2 Dy 3.49, 6 Pm 3.52-3.59
6 Pm 0.8498 0.4835 0.6658  1 Tl 3.43, 3 Dy 3.47-3.60, 7 Pm 3.52-3.66
7 Dy 0.1643 0.1643 0.1629  8 Pm 3.47-3.60, 2 Dy 3.52
8 Dy 0.8357 0.8357 0.8371  8 Pm 3.47-3.60, 2 Dy 3.52
9 Tl 0.5000 0.5000 0.5000  8 Pm 3.43-3.45, 2 Tl 3.52

Results
DFT total energy ... -4.350 eV/atom
Symmetry ... C2/m
Energy relative to the elements ... 0.102 eV/atom
M_tot ... 0.00 μB per formula unit
Density ... 7.639 g/cm³

(5)
# PmDy6Tl4

PmDy6Tl4 after structural relaxation (GGA-PBE, Alexandria).

Unit cell a=8.0438 b=8.0438 c=8.0438 alpha=121.85 beta=121.85 gamma=86.82
Last column: nearest neighbours and their distance in Å.
Sites, in units of the cell vectors:
1 Pm 0.0000 0.0000 0.0000  4 Tl 3.69, 8 Dy 3.91-3.94
2 Dy 0.0000 0.5000 0.5000  4 Tl 3.00
3 Dy 0.1039 0.4729 0.0000  4 Tl 2.98-3.31
4 Dy 0.4729 0.1039 0.0000  4 Tl 2.98-3.31
5 Dy 0.5000 0.0000 0.5000  4 Tl 3.00
6 Dy 0.5271 0.5271 0.6310  4 Tl 2.98-3.31
7 Dy 0.8961 0.8961 0.3690  4 Tl 2.98-3.31
8 Tl 0.2542 0.2542 0.6507  6 Dy 2.98-3.31, 2 Tl 3.20
9 Tl 0.3964 0.7458 0.0000  6 Dy 2.98-3.31, 2 Tl 3.20
10 Tl 0.6036 0.6036 0.3493  6 Dy 2.98-3.31, 2 Tl 3.20
11 Tl 0.7458 0.3964 0.0000  6 Dy 2.98-3.31, 2 Tl 3.20

Results
DFT total energy ... -3.835 eV/atom
Symmetry ... I-42m
Energy relative to the elements ... -0.033 eV/atom
M_tot ... 0.04 μB per formula unit
Density ... 9.009 g/cm³

(6)
# Pm7Dy3Tl2

Pm7Dy3Tl2 after structural relaxation (GGA-PBE, Alexandria).

Unit cell a=5.6990 b=3.6586 c=18.7407 alpha=90.00 beta=93.98 gamma=90.00
Last column: nearest neighbours and their distance in Å.
Sites, in units of the cell vectors:
1 Pm 0.0000 0.0000 0.0000  4 Dy 3.39, 8 Pm 3.51-3.79
2 Pm 0.1650 0.5000 0.1731  8 Pm 3.40-3.79, 2 Tl 3.63-3.68
3 Pm 0.2580 0.5000 0.5373  1 Tl 3.13, 2 Pm 3.17-3.18
4 Pm 0.3371 0.0000 0.8503  2 Tl 3.28, 7 Pm 3.40-3.66, 2 Dy 3.42
5 Pm 0.6629 0.0000 0.1497  2 Tl 3.28, 7 Pm 3.40-3.66, 2 Dy 3.42
6 Pm 0.7420 0.5000 0.4627  1 Tl 3.13, 2 Pm 3.17-3.18
7 Pm 0.8350 0.5000 0.8269  8 Pm 3.40-3.79, 2 Tl 3.63-3.68
8 Dy 0.2184 0.0000 0.3630  4 Tl 3.59-3.63, 2 Dy 3.66, 8 Pm 3.74-3.99
9 Dy 0.5000 0.5000 0.0000  8 Pm 3.39-3.42, 2 Dy 3.66
10 Dy 0.7816 0.0000 0.6370  4 Tl 3.59-3.63, 2 Dy 3.66, 8 Pm 3.74-3.99
11 Tl 0.3014 0.5000 0.7045  3 Pm 3.13-3.28
12 Tl 0.6986 0.5000 0.2955  3 Pm 3.13-3.28

Results
DFT total energy ... -4.327 eV/atom
Symmetry ... P2/m
Energy relative to the elements ... -0.011 eV/atom
M_tot ... 0.00 μB per formula unit
Density ... 8.142 g/cm³

(7)
# Pm3Dy2Tl2

Pm3Dy2Tl2 after structural relaxation (GGA-PBE, Alexandria).

Unit cell a=5.4945 b=5.4945 c=8.7396 alpha=108.42 beta=108.42 gamma=60.08
Last column: nearest neighbours and their distance in Å.
Sites, in units of the cell vectors:
1 Pm 0.0000 0.0000 0.0000  6 Tl 3.38
2 Pm 0.1562 0.1562 0.4684  1 Tl 3.16, 3 Pm 3.21-3.22, 3 Dy 3.53-3.54
3 Pm 0.8438 0.8438 0.5316  1 Tl 3.16, 3 Pm 3.21-3.22, 3 Dy 3.53-3.54
4 Dy 0.4255 0.4255 0.2770  4 Tl 3.35-3.42, 3 Pm 3.53-3.54, 1 Dy 3.63
5 Dy 0.5745 0.5745 0.7230  4 Tl 3.35-3.42, 3 Pm 3.53-3.54, 1 Dy 3.63
6 Tl 0.2857 0.2857 0.8565  4 Pm 3.16-3.38, 4 Dy 3.35-3.42
7 Tl 0.7143 0.7143 0.1435  4 Pm 3.16-3.38, 4 Dy 3.35-3.42

Results
DFT total energy ... -4.226 eV/atom
Symmetry ... C2/m
Energy relative to the elements ... -0.199 eV/atom
M_tot ... 0.00 μB per formula unit
Density ... 9.115 g/cm³

(8)
# PmDy3Tl2

PmDy3Tl2 after structural relaxation (GGA-PBE, Alexandria).

Unit cell a=8.6695 b=8.6695 c=9.3083 alpha=117.86 beta=117.86 gamma=36.29
Last column: nearest neighbours and their distance in Å.
Sites, in units of the cell vectors:
1 Pm 0.1307 0.1307 0.1717  5 Tl 3.27-3.57, 2 Dy 3.58
2 Pm 0.8693 0.8693 0.8283  5 Tl 3.27-3.57, 2 Dy 3.58
3 Dy 0.0594 0.0594 0.7150  3 Tl 3.38-3.39, 6 Dy 3.48-3.64, 1 Pm 3.77
4 Dy 0.3067 0.3067 0.0075  2 Tl 3.05-3.40, 2 Dy 3.25
5 Dy 0.3838 0.3838 0.4576  3 Tl 3.00-3.13
6 Dy 0.6162 0.6162 0.5424  3 Tl 3.00-3.13
7 Dy 0.6933 0.6933 0.9925  2 Tl 3.05-3.40, 2 Dy 3.25
8 Dy 0.9406 0.9406 0.2850  3 Tl 3.38-3.39, 6 Dy 3.48-3.64, 1 Pm 3.77
9 Tl 0.2226 0.2226 0.5933  5 Dy 3.13-3.46, 1 Pm 3.44
10 Tl 0.4808 0.4808 0.8276  1 Tl 2.95, 2 Dy 3.00-3.05, 2 Pm 3.27
11 Tl 0.5192 0.5192 0.1724  1 Tl 2.95, 2 Dy 3.00-3.05, 2 Pm 3.27
12 Tl 0.7774 0.7774 0.4067  5 Dy 3.13-3.46, 1 Pm 3.44

Results
DFT total energy ... -4.053 eV/atom
Symmetry ... C2/m
Energy relative to the elements ... -0.171 eV/atom
M_tot ... 0.38 μB per formula unit
Density ... 9.591 g/cm³

(9)
# Pm3Dy2Tl4

Pm3Dy2Tl4 after structural relaxation (GGA-PBE, Alexandria).

Unit cell a=8.6194 b=8.6194 c=9.8669 alpha=90.00 beta=90.00 gamma=129.68
Last column: nearest neighbours and their distance in Å.
Sites, in units of the cell vectors:
1 Pm 0.0000 0.0000 0.0000  6 Tl 3.08
2 Pm 0.0336 0.4664 0.2500  5 Tl 3.19-3.28
3 Pm 0.4664 0.0336 0.7500  5 Tl 3.19-3.28
4 Pm 0.5000 0.5000 0.5000  6 Tl 3.08
5 Pm 0.5336 0.9664 0.2500  5 Tl 3.19-3.28
6 Pm 0.9664 0.5336 0.7500  5 Tl 3.19-3.28
7 Dy 0.1053 0.8947 0.4474  3 Tl 3.17-3.21, 1 Dy 3.45
8 Dy 0.3947 0.6053 0.9474  3 Tl 3.17-3.21, 1 Dy 3.45
9 Dy 0.6053 0.3947 0.0526  3 Tl 3.17-3.21, 1 Dy 3.45
10 Dy 0.8947 0.1053 0.5526  3 Tl 3.17-3.21, 1 Dy 3.45
11 Tl 0.1970 0.8030 0.0238  5 Pm 3.08-3.28, 1 Dy 3.17
12 Tl 0.2419 0.2581 0.2500  3 Pm 3.08-3.25, 2 Dy 3.21
13 Tl 0.2581 0.2419 0.7500  3 Pm 3.08-3.25, 2 Dy 3.21
14 Tl 0.3030 0.6970 0.5238  5 Pm 3.08-3.28, 1 Dy 3.17
15 Tl 0.6970 0.3030 0.4762  5 Pm 3.08-3.28, 1 Dy 3.17
16 Tl 0.7419 0.7581 0.2500  3 Pm 3.08-3.25, 2 Dy 3.21
17 Tl 0.7581 0.7419 0.7500  3 Pm 3.08-3.25, 2 Dy 3.21
18 Tl 0.8030 0.1970 0.9762  5 Pm 3.08-3.28, 1 Dy 3.17

Results
DFT total energy ... -3.846 eV/atom
Symmetry ... Cmce
Energy relative to the elements ... -0.188 eV/atom
M_tot ... 0.00 μB per formula unit
Density ... 9.286 g/cm³

(10)
# Pm6Dy12Tl

Pm6Dy12Tl after structural relaxation (GGA-PBE, Alexandria).

Unit cell a=8.5079 b=8.5079 c=8.5079 alpha=88.96 beta=88.96 gamma=88.96
Last column: nearest neighbours and their distance in Å.
Sites, in units of the cell vectors:
1 Pm 0.1966 0.5928 0.7596  7 Dy 3.32-3.66, 1 Tl 3.46, 2 Pm 3.48
2 Pm 0.2404 0.8034 0.4072  7 Dy 3.32-3.66, 1 Tl 3.46, 2 Pm 3.48
3 Pm 0.4072 0.2404 0.8034  7 Dy 3.32-3.66, 1 Tl 3.46, 2 Pm 3.48
4 Pm 0.5928 0.7596 0.1966  7 Dy 3.32-3.66, 1 Tl 3.46, 2 Pm 3.48
5 Pm 0.7596 0.1966 0.5928  7 Dy 3.32-3.66, 1 Tl 3.46, 2 Pm 3.48
6 Pm 0.8034 0.4072 0.2404  7 Dy 3.32-3.66, 1 Tl 3.46, 2 Pm 3.48
7 Dy 0.0392 0.2777 0.9349  6 Dy 3.28-3.63, 3 Pm 3.32-3.44
8 Dy 0.0651 0.9608 0.7223  6 Dy 3.28-3.63, 3 Pm 3.32-3.44
9 Dy 0.1407 0.3119 0.4870  4 Pm 3.41-3.66, 4 Dy 3.47-3.63, 1 Tl 3.48
10 Dy 0.2777 0.9349 0.0392  6 Dy 3.28-3.63, 3 Pm 3.32-3.44
11 Dy 0.3119 0.4870 0.1407  4 Pm 3.41-3.66, 4 Dy 3.47-3.63, 1 Tl 3.48
12 Dy 0.4870 0.1407 0.3119  4 Pm 3.41-3.66, 4 Dy 3.47-3.63, 1 Tl 3.48
13 Dy 0.5130 0.8593 0.6881  4 Pm 3.41-3.66, 4 Dy 3.47-3.63, 1 Tl 3.48
14 Dy 0.6881 0.5130 0.8593  4 Pm 3.41-3.66, 4 Dy 3.47-3.63, 1 Tl 3.48
15 Dy 0.7223 0.0651 0.9608  6 Dy 3.28-3.63, 3 Pm 3.32-3.44
16 Dy 0.8593 0.6881 0.5130  4 Pm 3.41-3.66, 4 Dy 3.47-3.63, 1 Tl 3.48
17 Dy 0.9349 0.0392 0.2777  6 Dy 3.28-3.63, 3 Pm 3.32-3.44
18 Dy 0.9608 0.7223 0.0651  6 Dy 3.28-3.63, 3 Pm 3.32-3.44
19 Tl 0.5000 0.5000 0.5000  6 Pm 3.46, 6 Dy 3.48

Results
DFT total energy ... -4.450 eV/atom
Symmetry ... R-3
Energy relative to the elements ... 0.082 eV/atom
M_tot ... 0.00 μB per formula unit
Density ... 8.159 g/cm³